a) Computed, not measured: crystalline Ac2Mg3In2 at its relaxed geometry at the PBE level of DFT.

Output
SG = No. 12
DOS(E_F) = 5.95 states/eV/cell

Cell lengths 5.015, 6.475, 7.512 Å; angles 109.66, 90.00, 112.79 degrees
Sites, in units of the cell vectors:
1 Mg 0.603 0.207 0.428
2 Ac 0.150 0.301 0.770
3 Mg 0.397 0.793 0.572
4 Ac 0.850 0.699 0.230
5 In 0.147 0.294 0.244
6 Mg 0.500 0.000 0.000
7 In 0.853 0.706 0.756

---

b) Computed, not measured: crystalline Ac2Mg3In2 at its relaxed geometry at the PBE level of DFT.

Output
SG = No. 12
DOS(E_F) = 5.77 states/eV/cell

Cell lengths 4.960, 6.450, 7.448 Å; angles 103.11, 90.00, 112.62 degrees
Sites, in units of the cell vectors:
1 Mg 0.000 0.000 0.000
2 Ac 0.385 0.770 0.642
3 Ac 0.615 0.230 0.358
4 Mg 0.707 0.413 0.881
5 In 0.894 0.788 0.308
6 In 0.106 0.212 0.692
7 Mg 0.293 0.587 0.119

---

Decreasing stability: a), b)

---

a) Computed, not measured: crystalline AcMg2In at its relaxed geometry at the PBE level of DFT.

Output
SG = No. 225
DOS(E_F) = 0.71 states/eV/cell

Cell lengths 5.391, 5.391, 5.391 Å; angles 60.00, 60.00, 60.00 degrees
Sites, in units of the cell vectors:
1 Ac 0.000 0.000 0.000
2 Mg 0.750 0.750 0.750
3 Mg 0.250 0.250 0.250
4 In 0.500 0.500 0.500

---

b) Computed, not measured: crystalline AcMg2In at its relaxed geometry at the PBE level of DFT.

Output
SG = No. 123
DOS(E_F) = 3.32 states/eV/cell

Cell lengths 3.779, 3.779, 8.142 Å; angles 90.00, 90.00, 90.00 degrees
Sites, in units of the cell vectors:
1 In 0.500 0.500 0.000
2 Mg 0.000 0.000 0.202
3 Mg 0.000 0.000 0.798
4 Ac 0.500 0.500 0.500

---

c) Computed, not measured: crystalline AcMg2In at its relaxed geometry at the PBE level of DFT.

Output
SG = No. 63
DOS(E_F) = 1.99 states/eV/cell

Cell lengths 5.084, 6.425, 7.649 Å; angles 90.00, 90.00, 113.30 degrees
Sites, in units of the cell vectors:
1 Mg 0.627 0.255 0.444
2 Mg 0.373 0.745 0.556
3 Mg 0.627 0.255 0.056
4 Mg 0.373 0.745 0.944
5 Ac 0.087 0.175 0.750
6 In 0.203 0.406 0.250
7 In 0.797 0.594 0.750
8 Ac 0.913 0.825 0.250

---

Decreasing stability: c), a), b)

---

a) Computed, not measured: crystalline AcMg2In at its relaxed geometry at the PBE level of DFT.

Output
SG = No. 63
DOS(E_F) = 11.45 states/eV/cell

Cell lengths 4.901, 9.605, 10.402 Å; angles 90.00, 90.00, 104.78 degrees
Sites, in units of the cell vectors:
1 Mg 0.305 0.610 0.401
2 Mg 0.305 0.610 0.099
3 Ac 0.500 0.000 0.500
4 Ac 0.697 0.394 0.250
5 Ac 0.500 0.000 0.000
6 Mg 0.695 0.390 0.599
7 In 0.857 0.714 0.976
8 Mg 0.893 0.786 0.250
9 In 0.857 0.714 0.524
10 In 0.143 0.286 0.476
11 Mg 0.107 0.214 0.750
12 Mg 0.051 0.102 0.250
13 Mg 0.695 0.390 0.901
14 In 0.143 0.286 0.024
15 Ac 0.303 0.606 0.750
16 Mg 0.949 0.898 0.750

---

b) Computed, not measured: crystalline AcMg2In at its relaxed geometry at the PBE level of DFT.

Output
SG = No. 123
DOS(E_F) = 2.87 states/eV/cell

Cell lengths 5.126, 4.831, 4.831 Å; angles 90.00, 90.00, 90.00 degrees
Sites, in units of the cell vectors:
1 Mg 0.000 0.000 0.500
2 Ac 0.500 0.000 0.000
3 Mg 0.000 0.500 0.000
4 In 0.500 0.500 0.500

---

Decreasing stability: a), b)

---

a) Computed, not measured: crystalline Ac2Mg5In3 at its relaxed geometry at the PBE level of DFT.

Output
SG = No. 72
DOS(E_F) = 7.65 states/eV/cell

Cell lengths 6.788, 9.740, 9.740 Å; angles 78.44, 69.61, 69.61 degrees
Sites, in units of the cell vectors:
1 Ac 0.624 0.121 0.632
2 In 0.625 0.518 0.232
3 Ac 0.376 0.879 0.368
4 Mg 0.509 0.741 0.741
5 Mg 0.991 0.259 0.259
6 Ac 0.876 0.368 0.879
7 In 0.750 0.000 0.000
8 Mg 0.009 0.741 0.741
9 Mg 0.750 0.500 0.500
10 In 0.250 0.000 0.000
11 Mg 0.375 0.257 0.994
12 In 0.125 0.232 0.518
13 In 0.875 0.768 0.482
14 Mg 0.250 0.500 0.500
15 Ac 0.124 0.632 0.121
16 Mg 0.625 0.743 0.006
17 Mg 0.125 0.006 0.743
18 In 0.375 0.482 0.768
19 Mg 0.875 0.994 0.257
20 Mg 0.491 0.259 0.259

---

b) Computed, not measured: crystalline Ac2Mg5In3 at its relaxed geometry at the PBE level of DFT.

Output
SG = No. 115
DOS(E_F) = 5.82 states/eV/cell

Cell lengths 4.689, 4.689, 12.991 Å; angles 90.00, 90.00, 90.00 degrees
Sites, in units of the cell vectors:
1 Mg 0.000 0.000 0.000
2 Ac 0.000 0.500 0.740
3 Mg 0.000 0.500 0.143
4 Mg 0.500 0.500 0.000
5 Mg 0.500 0.000 0.857
6 Mg 0.500 0.500 0.500
7 In 0.500 0.000 0.641
8 Ac 0.500 0.000 0.260
9 In 0.000 0.500 0.359
10 In 0.000 0.000 0.500

---

Decreasing stability: a), b)

---

a) Computed, not measured: crystalline Ac3Mg2In at its relaxed geometry at the PBE level of DFT.

Output
SG = No. 123
DOS(E_F) = 7.77 states/eV/cell

Cell lengths 4.116, 4.116, 12.319 Å; angles 90.00, 90.00, 90.00 degrees
Sites, in units of the cell vectors:
1 Ac 0.000 0.000 0.000
2 Ac 0.000 0.000 0.336
3 In 0.500 0.500 0.500
4 Mg 0.500 0.500 0.164
5 Ac 0.000 0.000 0.664
6 Mg 0.500 0.500 0.836

---

b) Computed, not measured: crystalline Ac3Mg2In at its relaxed geometry at the PBE level of DFT.

Output
SG = No. 65
DOS(E_F) = 6.83 states/eV/cell

Cell lengths 4.115, 5.796, 9.198 Å; angles 108.37, 90.00, 90.00 degrees
Sites, in units of the cell vectors:
1 Ac 0.500 0.165 0.329
2 Ac 0.500 0.500 0.000
3 Ac 0.500 0.835 0.671
4 Mg 0.000 0.671 0.342
5 In 0.000 0.000 0.000
6 Mg 0.000 0.329 0.658

---

Decreasing stability: b), a)

---

a) Computed, not measured: crystalline Ac8MgIn2 at its relaxed geometry at the PBE level of DFT.

Output
SG = No. 71
DOS(E_F) = 12.84 states/eV/cell

Cell lengths 5.562, 9.685, 9.825 Å; angles 119.53, 106.44, 90.00 degrees
Sites, in units of the cell vectors:
1 In 0.194 0.694 0.388
2 Mg 0.500 0.000 0.000
3 Ac 0.000 0.681 0.000
4 Ac 0.660 0.881 0.320
5 Ac 0.660 0.438 0.320
6 Ac 0.340 0.562 0.680
7 Ac 0.144 0.144 0.288
8 Ac 0.340 0.119 0.680
9 Ac 0.000 0.319 0.000
10 In 0.806 0.306 0.612
11 Ac 0.856 0.856 0.712

---

b) Computed, not measured: crystalline Ac8MgIn2 at its relaxed geometry at the PBE level of DFT.

Output
SG = No. 12
DOS(E_F) = 11.84 states/eV/cell

Cell lengths 5.724, 7.781, 10.512 Å; angles 101.80, 105.80, 90.00 degrees
Sites, in units of the cell vectors:
1 Ac 0.338 0.045 0.675
2 In 0.806 0.272 0.612
3 Ac 0.662 0.955 0.325
4 In 0.194 0.728 0.388
5 Ac 0.196 0.293 0.392
6 Ac 0.804 0.707 0.608
7 Ac 0.974 0.244 0.949
8 Ac 0.026 0.756 0.051
9 Ac 0.407 0.538 0.814
10 Ac 0.593 0.462 0.186
11 Mg 0.500 0.000 0.000

---

Decreasing stability: b), a)

---

a) Computed, not measured: crystalline Ac2MgIn2 at its relaxed geometry at the PBE level of DFT.

Output
SG = No. 12
DOS(E_F) = 8.05 states/eV/cell

Cell lengths 5.092, 6.616, 10.903 Å; angles 83.19, 76.50, 67.37 degrees
Sites, in units of the cell vectors:
1 In 0.982 0.154 0.881
2 Ac 0.505 0.319 0.672
3 In 0.018 0.846 0.119
4 Ac 0.680 0.737 0.904
5 Mg 0.222 0.916 0.640
6 Mg 0.778 0.084 0.360
7 Ac 0.320 0.263 0.096
8 In 0.140 0.288 0.432
9 Ac 0.495 0.681 0.328
10 In 0.860 0.712 0.568

---

b) Computed, not measured: crystalline Ac2MgIn2 at its relaxed geometry at the PBE level of DFT.

Output
SG = No. 71
DOS(E_F) = 4.86 states/eV/cell

Cell lengths 4.754, 6.627, 6.627 Å; angles 60.59, 68.98, 68.98 degrees
Sites, in units of the cell vectors:
1 In 0.500 0.266 0.734
2 Ac 0.793 0.707 0.707
3 Mg 0.000 0.000 0.000
4 Ac 0.207 0.293 0.293
5 In 0.500 0.734 0.266

---

Decreasing stability: a), b)

---

a) Computed, not measured: crystalline Ac2Mg3In at its relaxed geometry at the PBE level of DFT.

Output
SG = No. 166
DOS(E_F) = 4.60 states/eV/cell

Cell lengths 6.262, 6.262, 6.376 Å; angles 89.98, 119.43, 120.00 degrees
Sites, in units of the cell vectors:
1 Ac 0.743 0.372 0.115
2 Mg 0.500 0.500 0.500
3 Ac 0.257 0.628 0.885
4 In 0.000 0.000 0.000
5 Mg 0.000 0.000 0.500
6 Mg 0.500 0.000 0.500

---

b) Computed, not measured: crystalline Ac2Mg3In at its relaxed geometry at the PBE level of DFT.

Output
SG = No. 25
DOS(E_F) = 5.70 states/eV/cell

Cell lengths 3.821, 5.328, 9.227 Å; angles 90.00, 90.00, 90.00 degrees
Sites, in units of the cell vectors:
1 In 0.500 0.500 0.336
2 Ac 0.000 0.500 0.006
3 Mg 0.500 0.000 0.832
4 Mg 0.500 0.000 0.165
5 Ac 0.000 0.000 0.494
6 Mg 0.500 0.500 0.668

---

Decreasing stability: a), b)

---

a) Computed, not measured: crystalline Ac4MgIn3 at its relaxed geometry at the PBE level of DFT.

Output
SG = No. 25
DOS(E_F) = 11.61 states/eV/cell

Cell lengths 4.932, 4.721, 12.532 Å; angles 90.00, 90.00, 90.00 degrees
Sites, in units of the cell vectors:
1 Ac 0.000 0.500 0.855
2 In 0.500 0.000 0.925
3 Mg 0.500 0.500 0.066
4 Ac 0.500 0.000 0.643
5 In 0.000 0.500 0.576
6 In 0.000 0.000 0.427
7 Ac 0.500 0.500 0.362
8 Ac 0.000 0.000 0.147

---

b) Computed, not measured: crystalline Ac4MgIn3 at its relaxed geometry at the PBE level of DFT.

Output
SG = No. 12
DOS(E_F) = 8.18 states/eV/cell

Cell lengths 5.770, 5.770, 9.268 Å; angles 108.03, 108.14, 90.00 degrees
Sites, in units of the cell vectors:
1 Ac 0.874 0.874 0.748
2 Ac 0.374 0.374 0.748
3 Mg 0.500 0.000 0.000
4 In 0.253 0.753 0.506
5 Ac 0.126 0.126 0.252
6 In 0.747 0.247 0.494
7 Ac 0.626 0.626 0.252
8 In 0.000 0.500 0.000

---

Decreasing stability: b), a)

---

a) Computed, not measured: crystalline AcMg2In2 at its relaxed geometry at the PBE level of DFT.

Output
SG = No. 129
DOS(E_F) = 4.23 states/eV/cell

Cell lengths 4.792, 4.792, 12.133 Å; angles 90.00, 90.00, 90.00 degrees
Sites, in units of the cell vectors:
1 Mg 0.500 0.500 0.000
2 Mg 0.500 0.000 0.636
3 In 0.500 0.000 0.863
4 In 0.000 0.500 0.137
5 Mg 0.000 0.000 0.000
6 Ac 0.000 0.500 0.749
7 Ac 0.500 0.000 0.251
8 In 0.500 0.500 0.500
9 Mg 0.000 0.500 0.364
10 In 0.000 0.000 0.500

---

b) Computed, not measured: crystalline AcMg2In2 at its relaxed geometry at the PBE level of DFT.

Output
SG = No. 123
DOS(E_F) = 3.24 states/eV/cell

Cell lengths 4.689, 4.689, 6.464 Å; angles 90.00, 90.00, 90.00 degrees
Sites, in units of the cell vectors:
1 Ac 0.000 0.000 0.000
2 Mg 0.500 0.000 0.500
3 In 0.500 0.500 0.779
4 In 0.500 0.500 0.221
5 Mg 0.000 0.500 0.500

---

Decreasing stability: a), b)

---

a) Computed, not measured: crystalline AcNdMgIn at its relaxed geometry at the PBE level of DFT.

Output
SG = No. 99
DOS(E_F) = 4.41 states/eV/cell

Cell lengths 4.015, 4.015, 7.927 Å; angles 90.00, 90.00, 90.00 degrees
Sites, in units of the cell vectors:
1 Mg 0.500 0.500 0.582
2 Ac 0.000 0.000 0.858
3 In 0.500 0.500 0.132
4 Nd 0.000 0.000 0.356

---

b) Computed, not measured: crystalline AcNdMgIn at its relaxed geometry at the PBE level of DFT.

Output
SG = No. 216
DOS(E_F) = 4.32 states/eV/cell

Cell lengths 5.651, 5.651, 5.651 Å; angles 60.00, 60.00, 60.00 degrees
Sites, in units of the cell vectors:
1 In 0.500 0.500 0.500
2 Ac 0.250 0.250 0.250
3 Mg 0.000 0.000 0.000
4 Nd 0.750 0.750 0.750

---

Decreasing stability: b), a)

---

a) Computed, not measured: crystalline AcMgInSn at its relaxed geometry at the PBE level of DFT.

Output
SG = No. 216
DOS(E_F) = 3.46 states/eV/cell

Cell lengths 5.500, 5.500, 5.500 Å; angles 60.00, 60.00, 60.00 degrees
Sites, in units of the cell vectors:
1 In 0.750 0.750 0.750
2 Ac 0.000 0.000 0.000
3 Sn 0.250 0.250 0.250
4 Mg 0.500 0.500 0.500

---

b) Computed, not measured: crystalline AcMgInSn at its relaxed geometry at the PBE level of DFT.

Output
SG = No. 47
DOS(E_F) = 2.02 states/eV/cell

Cell lengths 4.747, 4.902, 5.059 Å; angles 90.00, 90.00, 90.00 degrees
Sites, in units of the cell vectors:
1 In 0.500 0.500 0.000
2 Mg 0.000 0.000 0.000
3 Sn 0.500 0.000 0.500
4 Ac 0.000 0.500 0.500

---

Decreasing stability: b), a)